No. 1
Crystalline Re5W at its relaxed geometry, computed with PBE-GGA.

Lattice parameters (Å, degrees): 5.1188 5.1188 16.5745 90.00 90.00 120.00
Last column: nearest neighbours and their distance in Å.
Positions (direct):
Re1 0.0000 0.0000 0.0895  13 Re 2.96-3.16, 3 W 3.02
Re2 0.0000 0.0000 0.4105  13 Re 2.96-3.16, 3 W 3.02
Re3 0.0000 0.0000 0.5895  13 Re 2.96-3.16, 3 W 3.02
Re4 0.0000 0.0000 0.9105  13 Re 2.96-3.16, 3 W 3.02
Re5 0.0000 0.5000 0.0000  4 Re 2.56, 2 W 2.57
Re6 0.0000 0.5000 0.5000  4 Re 2.56, 2 W 2.57
Re7 0.1587 0.3173 0.2500  4 Re 2.44-2.68, 2 W 2.56
Re8 0.1587 0.8413 0.2500  4 Re 2.44-2.68, 2 W 2.56
Re9 0.3173 0.1587 0.7500  4 Re 2.44-2.68, 2 W 2.56
Re10 0.3333 0.6667 0.6572  13 Re 2.99-3.16, 3 W 3.00
Re11 0.3333 0.6667 0.8428  13 Re 2.99-3.16, 3 W 3.00
Re12 0.5000 0.0000 0.0000  4 Re 2.56, 2 W 2.57
Re13 0.5000 0.0000 0.5000  4 Re 2.56, 2 W 2.57
Re14 0.5000 0.5000 0.0000  4 Re 2.56, 2 W 2.57
Re15 0.5000 0.5000 0.5000  4 Re 2.56, 2 W 2.57
Re16 0.6667 0.3333 0.1572  13 Re 2.99-3.16, 3 W 3.00
Re17 0.6667 0.3333 0.3428  13 Re 2.99-3.16, 3 W 3.00
Re18 0.6827 0.8413 0.2500  4 Re 2.44-2.68, 2 W 2.56
Re19 0.8413 0.1587 0.7500  4 Re 2.44-2.68, 2 W 2.56
Re20 0.8413 0.6827 0.7500  4 Re 2.44-2.68, 2 W 2.56
W1 0.3333 0.6667 0.1271  6 Re 2.56-2.57
W2 0.3333 0.6667 0.3729  6 Re 2.56-2.57
W3 0.6667 0.3333 0.6271  6 Re 2.56-2.57
W4 0.6667 0.3333 0.8729  6 Re 2.56-2.57

## Properties
E ... -292.137 eV for the cell shown
DFT formation energy ... 7.84 kcal/mol of atoms
Relative energy among the computed polymorphs ... 110.8 meV/atom


No. 2
Crystalline Li2CuSnS4 at its relaxed geometry, computed with PBE-GGA.

Lattice parameters (Å, degrees): 6.4024 6.6669 10.1444 90.00 128.86 90.00
Last column: nearest neighbours and their distance in Å.
Positions (direct):
Li1 0.0000 0.1630 0.0000  4 S 2.42-2.44
Li2 0.0000 0.8370 0.5000  4 S 2.42-2.44
Li3 0.7471 0.3340 0.2461  4 S 2.42-2.45
Li4 0.7471 0.6660 0.7461  4 S 2.42-2.45
Cu1 0.5031 0.1714 0.4989  4 S 2.28-2.29
Cu2 0.5031 0.8286 0.9989  4 S 2.28-2.29
Sn1 0.2542 0.3310 0.7499  4 S 2.42-2.43
Sn2 0.2542 0.6690 0.2499  4 S 2.42-2.43
S1 0.1414 0.3250 0.2604  1 Cu 2.29, 1 Sn 2.43, 2 Li 2.44
S2 0.1414 0.6750 0.7604  1 Cu 2.29, 1 Sn 2.43, 2 Li 2.44
S3 0.3765 0.1503 0.9972  1 Cu 2.29, 1 Sn 2.43, 2 Li 2.43-2.45
S4 0.3765 0.8497 0.4972  1 Cu 2.29, 1 Sn 2.43, 2 Li 2.43-2.45
S5 0.6250 0.3200 0.7408  1 Cu 2.28, 2 Li 2.42-2.43, 1 Sn 2.43
S6 0.6250 0.6800 0.2408  1 Cu 2.28, 2 Li 2.42-2.43, 1 Sn 2.43
S7 0.8597 0.1759 0.4986  1 Cu 2.29, 1 Sn 2.42, 2 Li 2.42-2.43
S8 0.8597 0.8241 0.9986  1 Cu 2.29, 1 Sn 2.42, 2 Li 2.42-2.43

## Properties
E ... -66.838 eV for the cell shown
Relative energy among the computed polymorphs ... 0.0 meV/atom


Q: The lowest relative energy among the computed polymorphs belongs to which entry?
A: Li2CuSnS4


What did the first record say?
Crystalline Re5W at its relaxed geometry, computed with PBE-GGA.

Lattice parameters (Å, degrees): 5.1188 5.1188 16.5745 90.00 90.00 120.00
Last column: nearest neighbours and their distance in Å.
Positions (direct):
Re1 0.0000 0.0000 0.0895  13 Re 2.96-3.16, 3 W 3.02
Re2 0.0000 0.0000 0.4105  13 Re 2.96-3.16, 3 W 3.02
Re3 0.0000 0.0000 0.5895  13 Re 2.96-3.16, 3 W 3.02
Re4 0.0000 0.0000 0.9105  13 Re 2.96-3.16, 3 W 3.02
Re5 0.0000 0.5000 0.0000  4 Re 2.56, 2 W 2.57
Re6 0.0000 0.5000 0.5000  4 Re 2.56, 2 W 2.57
Re7 0.1587 0.3173 0.2500  4 Re 2.44-2.68, 2 W 2.56
Re8 0.1587 0.8413 0.2500  4 Re 2.44-2.68, 2 W 2.56
Re9 0.3173 0.1587 0.7500  4 Re 2.44-2.68, 2 W 2.56
Re10 0.3333 0.6667 0.6572  13 Re 2.99-3.16, 3 W 3.00
Re11 0.3333 0.6667 0.8428  13 Re 2.99-3.16, 3 W 3.00
Re12 0.5000 0.0000 0.0000  4 Re 2.56, 2 W 2.57
Re13 0.5000 0.0000 0.5000  4 Re 2.56, 2 W 2.57
Re14 0.5000 0.5000 0.0000  4 Re 2.56, 2 W 2.57
Re15 0.5000 0.5000 0.5000  4 Re 2.56, 2 W 2.57
Re16 0.6667 0.3333 0.1572  13 Re 2.99-3.16, 3 W 3.00
Re17 0.6667 0.3333 0.3428  13 Re 2.99-3.16, 3 W 3.00
Re18 0.6827 0.8413 0.2500  4 Re 2.44-2.68, 2 W 2.56
Re19 0.8413 0.1587 0.7500  4 Re 2.44-2.68, 2 W 2.56
Re20 0.8413 0.6827 0.7500  4 Re 2.44-2.68, 2 W 2.56
W1 0.3333 0.6667 0.1271  6 Re 2.56-2.57
W2 0.3333 0.6667 0.3729  6 Re 2.56-2.57
W3 0.6667 0.3333 0.6271  6 Re 2.56-2.57
W4 0.6667 0.3333 0.8729  6 Re 2.56-2.57

## Properties
E ... -292.137 eV for the cell shown
DFT formation energy ... 7.84 kcal/mol of atoms
Relative energy among the computed polymorphs ... 110.8 meV/atom


Q: The highest E belongs to which entry?
A: Li2CuSnS4


Copy entry 1 word for word.
Crystalline Re5W at its relaxed geometry, computed with PBE-GGA.

Lattice parameters (Å, degrees): 5.1188 5.1188 16.5745 90.00 90.00 120.00
Last column: nearest neighbours and their distance in Å.
Positions (direct):
Re1 0.0000 0.0000 0.0895  13 Re 2.96-3.16, 3 W 3.02
Re2 0.0000 0.0000 0.4105  13 Re 2.96-3.16, 3 W 3.02
Re3 0.0000 0.0000 0.5895  13 Re 2.96-3.16, 3 W 3.02
Re4 0.0000 0.0000 0.9105  13 Re 2.96-3.16, 3 W 3.02
Re5 0.0000 0.5000 0.0000  4 Re 2.56, 2 W 2.57
Re6 0.0000 0.5000 0.5000  4 Re 2.56, 2 W 2.57
Re7 0.1587 0.3173 0.2500  4 Re 2.44-2.68, 2 W 2.56
Re8 0.1587 0.8413 0.2500  4 Re 2.44-2.68, 2 W 2.56
Re9 0.3173 0.1587 0.7500  4 Re 2.44-2.68, 2 W 2.56
Re10 0.3333 0.6667 0.6572  13 Re 2.99-3.16, 3 W 3.00
Re11 0.3333 0.6667 0.8428  13 Re 2.99-3.16, 3 W 3.00
Re12 0.5000 0.0000 0.0000  4 Re 2.56, 2 W 2.57
Re13 0.5000 0.0000 0.5000  4 Re 2.56, 2 W 2.57
Re14 0.5000 0.5000 0.0000  4 Re 2.56, 2 W 2.57
Re15 0.5000 0.5000 0.5000  4 Re 2.56, 2 W 2.57
Re16 0.6667 0.3333 0.1572  13 Re 2.99-3.16, 3 W 3.00
Re17 0.6667 0.3333 0.3428  13 Re 2.99-3.16, 3 W 3.00
Re18 0.6827 0.8413 0.2500  4 Re 2.44-2.68, 2 W 2.56
Re19 0.8413 0.1587 0.7500  4 Re 2.44-2.68, 2 W 2.56
Re20 0.8413 0.6827 0.7500  4 Re 2.44-2.68, 2 W 2.56
W1 0.3333 0.6667 0.1271  6 Re 2.56-2.57
W2 0.3333 0.6667 0.3729  6 Re 2.56-2.57
W3 0.6667 0.3333 0.6271  6 Re 2.56-2.57
W4 0.6667 0.3333 0.8729  6 Re 2.56-2.57

## Properties
E ... -292.137 eV for the cell shown
DFT formation energy ... 7.84 kcal/mol of atoms
Relative energy among the computed polymorphs ... 110.8 meV/atom